1.
! HfZrSc2Ta (PBEsol, relaxed); values from VASP
! - Size of the total moment: 0.00 μB/cell
! - DFT formation energy: 5.71 eV/f.u.
! - Symmetry: P4/mmm (123)
&SYSTEM
  ibrav = 0, nat = 5, ntyp = 4
/
ATOMIC_SPECIES
Sc 44.96 Sc.upf
Hf 178.49 Hf.upf
Zr 91.22 Zr.upf
Ta 180.95 Ta.upf
CELL_PARAMETERS angstrom
-4.6324 1.5020 0.1725
-1.5114 -4.5863 -0.6529
-0.0393 -0.6817 4.8796
ATOMIC_POSITIONS angstrom
Sc -0.7557 -2.2931 -0.3264
Sc -2.3162 0.7510 0.0863
Hf -3.0915 -1.8830 2.1996
Zr 0.0000 0.0000 0.0000
Ta -0.0196 -0.3408 2.4398

2.
! HfScTi3 (PBEsol, relaxed); values from VASP
! - Size of the total moment: 0.00 μB/cell
! - DFT formation energy: 5.12 eV/f.u.
! - Symmetry: Pm-3m (221)
&SYSTEM
  ibrav = 0, nat = 5, ntyp = 3
/
ATOMIC_SPECIES
Sc 44.96 Sc.upf
Hf 178.49 Hf.upf
Ti 47.87 Ti.upf
CELL_PARAMETERS angstrom
-0.8655 -3.7322 2.5284
1.8343 -2.6434 -3.2740
4.1179 0.3931 1.9898
ATOMIC_POSITIONS angstrom
Sc 0.0000 0.0000 0.0000
Hf 2.5434 -2.9913 0.6221
Ti 0.9172 -1.3217 -1.6370
Ti 2.0590 0.1965 0.9949
Ti -0.4327 -1.8661 1.2642

3.
! HfScTi2Tl (PBEsol, relaxed); values from VASP
! - Size of the total moment: 3.41 μB/cell
! - DFT formation energy: 5.88 eV/f.u.
! - Symmetry: P4/mmm (123)
&SYSTEM
  ibrav = 0, nat = 5, ntyp = 4
/
ATOMIC_SPECIES
Sc 44.96 Sc.upf
Tl 204.38 Tl.upf
Hf 178.49 Hf.upf
Ti 47.87 Ti.upf
CELL_PARAMETERS angstrom
5.0119 0.0000 0.0000
0.0000 5.0119 0.0000
0.0000 0.0000 5.1107
ATOMIC_POSITIONS angstrom
Sc 0.0000 0.0000 2.5554
Tl 0.0000 0.0000 0.0000
Hf 2.5060 2.5060 2.5554
Ti 0.0000 2.5060 0.0000
Ti 2.5060 0.0000 0.0000

4.
! HfSc3Tl (PBEsol, relaxed); values from VASP
! - Size of the total moment: 2.46 μB/cell
! - DFT formation energy: 4.13 eV/f.u.
! - Symmetry: Pm-3m (221)
&SYSTEM
  ibrav = 0, nat = 5, ntyp = 3
/
ATOMIC_SPECIES
Sc 44.96 Sc.upf
Tl 204.38 Tl.upf
Hf 178.49 Hf.upf
CELL_PARAMETERS angstrom
-0.2706 -4.5885 -2.4969
4.7579 0.8157 -2.0147
2.1567 -2.3753 4.1314
ATOMIC_POSITIONS angstrom
Sc 2.3790 0.4079 -1.0074
Sc 1.0783 -1.1877 2.0657
Sc -0.1353 -2.2943 -1.2484
Tl 0.0000 0.0000 0.0000
Hf 3.3220 -3.0741 -0.1901

5.
! HfScTl2 (PBEsol, relaxed); values from VASP
! - Size of the total moment: 0.00 μB/cell
! - DFT formation energy: -0.23 eV/f.u.
! - Symmetry: Fm-3m (225)
&SYSTEM
  ibrav = 0, nat = 4, ntyp = 3
/
ATOMIC_SPECIES
Sc 44.96 Sc.upf
Tl 204.38 Tl.upf
Hf 178.49 Hf.upf
CELL_PARAMETERS angstrom
4.9848 0.0000 0.0000
2.4924 4.3170 0.0000
2.4924 1.4390 4.0701
ATOMIC_POSITIONS angstrom
Sc 0.0000 0.0000 0.0000
Tl 2.4924 1.4390 1.0175
Tl 7.4773 4.3170 3.0526
Hf 4.9848 2.8780 2.0351

6.
! HfSc2Tl2 (PBEsol, relaxed); values from VASP
! - Size of the total moment: 0.00 μB/cell
! - DFT formation energy: 1.89 eV/f.u.
! - Symmetry: I4/mmm (139)
&SYSTEM
  ibrav = 0, nat = 5, ntyp = 3
/
ATOMIC_SPECIES
Sc 44.96 Sc.upf
Tl 204.38 Tl.upf
Hf 178.49 Hf.upf
CELL_PARAMETERS angstrom
4.2669 0.0000 0.0000
0.0000 4.2669 0.0000
-2.1335 -2.1335 6.7417
ATOMIC_POSITIONS angstrom
Sc 0.0000 0.0000 5.3971
Sc 2.1335 2.1335 1.3446
Tl 0.0000 2.1335 3.3708
Tl 2.1335 0.0000 3.3708
Hf 0.0000 0.0000 0.0000

7.
! Hf2Se3 (PBEsol, relaxed); values from VASP
! - Size of the total moment: 0.00 μB/cell
! - E: -156.7 eV for the cell shown
! - Symmetry: Cc (9)
&SYSTEM
  ibrav = 0, nat = 20, ntyp = 2
/
ATOMIC_SPECIES
Hf 178.49 Hf.upf
Se 78.96 Se.upf
CELL_PARAMETERS angstrom
-4.9152 -0.7767 3.9067
-5.6981 -1.4706 -2.3388
-0.8152 -12.8382 1.5444
ATOMIC_POSITIONS angstrom
Hf -3.0403 -3.6564 -0.2975
Hf -7.1298 -10.9425 -0.0327
Hf -2.3098 -6.8899 0.0081
Hf -9.3736 -8.3910 1.0327
Hf -5.8615 -7.6483 0.5104
Hf -4.2257 -13.4594 3.0924
Hf -6.3711 -14.1715 0.2504
Hf -7.7703 -14.2073 3.6405
Se -4.8228 -12.0752 0.9011
Se -8.3994 -12.8309 1.4334
Se -6.2244 -12.1061 4.2521
Se -5.9255 -5.8001 2.4527
Se -4.5927 -5.7786 -0.9269
Se -2.4063 -5.0535 1.9660
Se -8.4988 -3.4575 1.3202
Se -1.3137 -1.9184 0.4340
Se -5.0366 -2.7109 0.9880
Se -7.1173 -9.4754 2.0612
Se -10.5783 -10.2265 2.4070
Se -3.7016 -8.7691 1.3895

8.
! Hf2Se (PBEsol, relaxed); values from VASP
! - Size of the total moment: 0.00 μB/cell
! - E: -54.9 eV for the cell shown
! - Symmetry: P6_3/mmc (194)
&SYSTEM
  ibrav = 0, nat = 6, ntyp = 2
/
ATOMIC_SPECIES
Hf 178.49 Hf.upf
Se 78.96 Se.upf
CELL_PARAMETERS angstrom
3.3925 0.0000 0.0000
-1.6962 2.9379 0.0000
0.0000 0.0000 12.1464
ATOMIC_POSITIONS angstrom
Hf 1.6962 0.9793 11.0007
Hf 0.0000 1.9586 4.9275
Hf 1.6962 0.9793 7.2189
Hf 0.0000 1.9586 1.1457
Se 0.0000 0.0000 9.1098
Se 0.0000 0.0000 3.0366

9.
! Hf23Se25 (PBEsol, relaxed); values from VASP
! - Size of the total moment: 0.00 μB/cell
! - E: -398.1 eV for the cell shown
! - Symmetry: P1 (1)
&SYSTEM
  ibrav = 0, nat = 48, ntyp = 2
/
ATOMIC_SPECIES
Hf 178.49 Hf.upf
Se 78.96 Se.upf
CELL_PARAMETERS angstrom
7.8240 -0.0062 -0.0032
-1.6592 7.7347 0.0055
-0.0614 -2.2646 15.4517
ATOMIC_POSITIONS angstrom
Hf 0.6160 5.1148 14.2166
Hf 5.3772 3.6774 13.6168
Hf -0.8770 5.6462 11.1510
Hf 2.2384 2.2316 12.9338
Hf 5.3528 -1.1866 14.9028
Hf 3.7628 4.1082 10.5142
Hf 7.0009 0.7959 12.2836
Hf 0.6926 2.6757 9.8899
Hf 3.8212 -0.6982 11.7194
Hf 2.1938 4.5445 7.4872
Hf 5.3996 1.2270 9.2535
Hf 3.8424 6.5284 4.9070
Hf -0.8780 3.1094 6.7971
Hf 2.3374 -0.2740 8.6915
Hf 3.8838 1.6743 6.2121
Hf 0.6966 5.0486 4.3111
Hf 5.4085 3.5935 3.6853
Hf 0.7336 0.2206 5.5120
Hf 2.2612 6.9489 1.8511
Hf -0.8587 5.4980 1.2046
Hf 2.3258 2.1489 3.1093
Hf 6.9939 0.6390 2.4884
Hf 3.8959 3.9863 0.6775
Se 2.9935 3.9540 14.8360
Se -0.1017 2.5231 14.2331
Se 1.4331 4.4699 11.7485
Se 4.6175 1.0793 13.6098
Se -0.0508 -2.2289 15.4453
Se 6.1430 3.0534 11.1157
Se 1.4948 -0.3517 13.0426
Se -0.1805 4.9143 8.6426
Se 3.0526 1.5466 10.4962
Se 6.2158 -1.7942 12.3724
Se -0.0832 0.0823 9.8326
Se 4.6196 3.5013 8.0348
Se 6.1681 5.3545 5.5962
Se 4.7126 -1.3516 9.2595
Se 1.4916 1.9544 7.4108
Se 6.2296 0.5087 6.8293
Se 3.0584 3.9475 4.9885
Se 4.6173 5.8159 2.4615
Se -0.0485 2.4675 4.3052
Se 1.4576 6.8163 6.1948
Se 4.6511 1.0170 3.7197
Se 1.4797 4.3617 1.8321
Se 6.2805 2.9137 1.2201
Se 1.5530 -0.4281 3.0626
Se 3.0377 1.4459 0.6049

10.
! HfSi2Se (PBEsol, relaxed); values from VASP
! - Size of the total moment: 0.00 μB/cell
! - E: -51.4 eV for the cell shown
! - Symmetry: I-42d (122)
&SYSTEM
  ibrav = 0, nat = 8, ntyp = 3
/
ATOMIC_SPECIES
Si 28.09 Si.upf
Hf 178.49 Hf.upf
Se 78.96 Se.upf
CELL_PARAMETERS angstrom
5.3434 0.0000 0.0000
2.6717 5.1756 0.0000
2.6717 0.0000 5.1756
ATOMIC_POSITIONS angstrom
Si 8.6830 5.1500 2.6133
Si 3.3396 0.0255 2.5622
Si 4.6754 2.6133 0.0255
Si 4.6754 2.5622 5.1500
Hf 0.0000 0.0000 0.0000
Hf 6.6792 2.5878 2.5878
Se 2.6717 0.0000 0.0000
Se 4.0075 2.5878 2.5878

11.
! HfTiSi2Se (PBEsol, relaxed); values from VASP
! - Size of the total moment: 0.00 μB/cell
! - E: -30.9 eV for the cell shown
! - Symmetry: P4/mmm (123)
&SYSTEM
  ibrav = 0, nat = 5, ntyp = 4
/
ATOMIC_SPECIES
Si 28.09 Si.upf
Hf 178.49 Hf.upf
Se 78.96 Se.upf
Ti 47.87 Ti.upf
CELL_PARAMETERS angstrom
4.6709 0.0000 0.0000
0.0000 4.6709 0.0000
0.0000 0.0000 4.9321
ATOMIC_POSITIONS angstrom
Si 0.0000 2.3355 0.0000
Si 2.3355 0.0000 0.0000
Hf 0.0000 0.0000 2.4660
Se 2.3355 2.3355 2.4660
Ti 0.0000 0.0000 0.0000

12.
! HfSnSe2 (PBEsol, relaxed); values from VASP
! - Size of the total moment: 0.00 μB/cell
! - E: -47.1 eV for the cell shown
! - Symmetry: I-42d (122)
&SYSTEM
  ibrav = 0, nat = 8, ntyp = 3
/
ATOMIC_SPECIES
Hf 178.49 Hf.upf
Sn 118.71 Sn.upf
Se 78.96 Se.upf
CELL_PARAMETERS angstrom
6.8671 0.0000 0.0000
-3.4335 6.1075 0.2151
0.0000 3.6558 5.8131
ATOMIC_POSITIONS angstrom
Hf 3.4335 5.7956 4.4674
Hf 0.0000 0.0000 0.0000
Sn 0.0000 3.9677 1.5608
Sn 3.4335 1.8279 2.9065
Se 2.0675 5.9515 2.3412
Se -2.0675 7.7794 5.2478
Se 5.1503 3.9985 3.9839
Se 1.7168 1.7971 0.4835

Which formula does entry 9 have? Hf23Se25